# Ca6GaSn2 PBE-GGA optimized geometry
# V ... 284.4 Å³ per cell
# DOS at the Fermi energy ... 0.2695 states/eV/atom
# Total energy ... -0.22681 Ry per atom
# Mass density ... 3.2 g/cm3
data_Ca6GaSn2
_chemical_formula_sum 'Ca6 Ga1 Sn2'
_symmetry_space_group_name_H-M 'P -6 2 m'
_symmetry_Int_Tables_number 189
_symmetry_space_group_name_Hall 'P -6 -2'
_cell_length_a 8.5577
_cell_length_b 8.5577
_cell_length_c 4.4838
_cell_angle_alpha 90.00
_cell_angle_beta 90.00
_cell_angle_gamma 120.00
loop_
_atom_site_label
_atom_site_type_symbol
_atom_site_fract_x
_atom_site_fract_y
_atom_site_fract_z
_atom_site_occupancy
Ca1 Ca 0.0000 0.4076 0.0000 1
Ca2 Ca 0.0000 0.7490 0.5000 1
Ga1 Ga 0.0000 0.0000 0.0000 1
Sn1 Sn 0.3333 0.6667 0.5000 1